Entry 1:
Material: ThU2Tc3
Method: DFT, PBE
State: optimized geometry

Geometry as POSCAR:
```
ThU2Tc3
1.0
-1.621 -6.621 -2.430
2.585 2.225 6.382
-6.960 1.786 -0.855
Th U Tc
2 4 6
Direct
0.500 0.250 0.250
0.500 0.750 0.750
0.166 0.750 0.417
0.167 0.250 0.917
0.833 0.750 0.083
0.834 0.250 0.583
0.000 0.000 0.500
0.000 0.500 0.000
0.500 0.250 0.750
0.000 0.250 0.250
0.500 0.750 0.250
0.000 0.750 0.750
```

As for the total magnetic moment: 0.0 μB/f.u. Its formation energy is -0.122 eV per atom.



Entry 2:
Material: ThUTc
Method: DFT, PBE
State: optimized geometry

Geometry as POSCAR:
```
ThUTc
1.0
1.711 -4.251 0.807
1.250 -1.225 4.311
-2.526 -3.116 2.359
U Tc Th
1 1 1
Direct
0.000 0.000 0.000
0.250 0.250 0.250
0.750 0.750 0.750
```

As for the total magnetic moment: 0.0 μB/f.u. Its formation energy is 0.665 eV per atom.



Entry 3:
Material: YThTc
Method: DFT, PBE
State: optimized geometry

Geometry as POSCAR:
```
YThTc
1.0
0.000 3.395 3.395
3.395 0.000 3.395
3.395 3.395 0.000
Tc Th Y
1 1 1
Direct
0.500 0.500 0.500
0.000 0.000 0.000
0.250 0.250 0.250
```

As for the total magnetic moment: 0.0 μB/f.u. Its formation energy is 0.904 eV per atom.



Entry 4:
Material: ThZnTc
Method: DFT, PBE
State: optimized geometry

Geometry as POSCAR:
```
ThZnTc
1.0
-3.841 1.841 1.616
-1.541 3.928 -1.717
-3.762 0.043 -2.569
Th Tc Zn
1 1 1
Direct
0.000 0.000 0.000
0.500 0.500 0.500
0.250 0.250 0.250
```

As for the total magnetic moment: 0.0 μB/f.u. Its formation energy is 0.329 eV per atom.



Entry 5:
Material: ThZrTc
Method: DFT, PBE
State: optimized geometry

Geometry as POSCAR:
```
ThZrTc
1.0
-3.427 -2.501 -1.975
-3.991 -0.747 2.327
-3.942 2.112 -1.378
Tc Zr Th
1 1 1
Direct
0.250 0.250 0.250
0.000 0.000 0.000
0.750 0.750 0.750
```

As for the total magnetic moment: 0.0 μB/f.u. Its formation energy is 0.549 eV per atom.



Entry 6:
Material: Tl2Tc
Method: DFT, PBE
State: optimized geometry

Geometry as POSCAR:
```
Tl2Tc
1.0
-6.334 -3.505 4.354
1.665 -4.839 6.721
-1.833 2.778 7.764
Tl Tc
4 2
Direct
0.375 0.375 0.375
0.375 0.375 0.875
0.875 0.375 0.375
0.375 0.875 0.375
0.250 0.250 0.250
0.500 0.500 0.500
```

As for the total magnetic moment: 0.1 μB/f.u. The distance to the lowest polymorph of the same formula comes out at 5.5 meV/atom.